Entry from Alexandria: an optimized crystal structure of KCa3Te (GGA-PBE).

Computed properties:
Magnetization ... 0.000 μB/atom
ΔE_f (raw) ... 693 meV per atom
E_tot ... -1.3560 eV per atom
E above lowest polymorph ... 99.2 kJ per mole of atoms
Space-group type ... Pm-3m, No. 221
Calculated volume ... 51.55 A^3/atom

Geometry as POSCAR:
```
KCa3Te
1.0
6.3642 0.0000 0.0000
0.0000 6.3642 0.0000
0.0000 0.0000 6.3642
K Ca Te
1 3 1
Direct
0.0000 0.0000 0.0000
0.0000 0.0000 0.5000
0.0000 0.5000 0.0000
0.5000 0.0000 0.0000
0.5000 0.5000 0.5000
```